K2TlGa4Au3 after structural relaxation. Source: Alexandria, functional PBE-GGA.

Calculated values
- density of states at the Fermi level (states/eV/f.u.) = 3.23
- energy relative to the elements (eV/atom) = -0.24
- VASP energy (eV per atom) = -2.890
- volume (Å³ per atom) = 24.29

Cell lengths 4.762, 4.762, 10.709 Å; angles 90.00, 90.00, 90.00 degrees
Sites, in units of the cell vectors:
K: 0.000 0.500 0.755
Tl: 0.500 0.500 0.500
Ga: 0.500 0.000 0.643
Au: 0.000 0.000 0.500
Au: 0.000 0.500 0.112
Ga: 0.000 0.000 0.000
Ga: 0.000 0.500 0.357
Ga: 0.500 0.500 0.000
Au: 0.500 0.000 0.888
K: 0.500 0.000 0.245